[1]
The following is a PBE calculation of YSnPd2 after structural relaxation, from the Open Quantum Materials Database.

POSCAR file:
```
YSnPd2
1.0
4.624 0.000 0.000
0.000 4.624 0.000
0.000 0.000 3.725
Y Sn Pd
1 1 2
Direct
0.000 0.000 0.000
0.500 0.500 0.000
0.000 0.500 0.500
0.500 0.000 0.500
```

- total energy (eV per atom) = -5.96

=====

[2]
The following is a PBE calculation of SrZn3Ni2 after structural relaxation, from the Open Quantum Materials Database.

POSCAR file:
```
SrZn3Ni2
1.0
4.997 -4.009 0.000
4.997 4.009 0.000
0.000 0.000 5.187
Sr Zn Ni
2 6 4
Direct
0.166 0.834 0.750
0.834 0.166 0.250
0.032 0.572 0.250
0.428 0.968 0.250
0.441 0.559 0.250
0.559 0.441 0.750
0.572 0.032 0.750
0.968 0.428 0.750
0.293 0.293 0.000
0.293 0.293 0.500
0.707 0.707 0.000
0.707 0.707 0.500
```

- total energy (eV per atom) = -3.04

=====

[3]
The following is a PBE calculation of ZrInPd2 after structural relaxation, from the Open Quantum Materials Database.

POSCAR file:
```
ZrInPd2
1.0
6.873 0.000 0.000
0.000 7.275 0.000
0.000 0.000 6.188
Zr In Pd
4 4 8
Direct
0.041 0.250 0.179
0.459 0.750 0.679
0.541 0.250 0.321
0.959 0.750 0.821
0.084 0.750 0.326
0.416 0.250 0.826
0.584 0.750 0.174
0.916 0.250 0.674
0.226 0.046 0.534
0.226 0.454 0.534
0.274 0.546 0.034
0.274 0.954 0.034
0.726 0.046 0.966
0.726 0.454 0.966
0.774 0.546 0.466
0.774 0.954 0.466
```

- total energy (eV per atom) = -5.89

=====

[4]
The following is a PBE calculation of LaGaPd after structural relaxation, from the Open Quantum Materials Database.

POSCAR file:
```
LaGaPd
1.0
0.000 3.460 3.460
3.460 0.000 3.460
3.460 3.460 0.000
La Ga Pd
1 1 1
Direct
0.000 0.000 0.000
0.750 0.750 0.750
0.250 0.250 0.250
```

- total energy (eV per atom) = -4.49

=====

[5]
The following is a PBE calculation of Y2Lu5Ni2Te2 after structural relaxation, from the Open Quantum Materials Database.

POSCAR file:
```
Y2Lu5Ni2Te2
1.0
-1.901 7.680 4.743
1.901 -7.680 4.743
1.901 7.680 -4.743
Y Lu Ni Te
2 5 2 2
Direct
0.185 0.000 0.185
0.815 0.000 0.815
0.163 0.797 0.367
0.430 0.797 0.633
0.503 0.650 0.854
0.796 0.650 0.146
0.876 0.376 0.500
0.041 0.303 0.739
0.564 0.303 0.261
0.145 0.145 0.000
0.540 0.040 0.500
```

- relative energy among the computed polymorphs (meV per atom) = 20

=====

[6]
The following is a PBE calculation of Nd2HoPd2PtPb3 after structural relaxation, from the Open Quantum Materials Database.

POSCAR file:
```
Nd2HoPd2PtPb3
1.0
4.048 0.000 0.000
0.000 6.756 3.920
0.000 -6.756 3.920
Nd Ho Pd Pt Pb
2 1 2 1 3
Direct
0.000 0.201 0.799
0.000 0.799 0.201
0.000 0.401 0.401
0.500 0.139 0.463
0.500 0.463 0.139
0.000 0.793 0.793
0.500 0.061 0.061
0.500 0.535 0.798
0.500 0.798 0.535
```

- total energy (eV per atom) = -5.37

=====

[7]
The following is a PBE calculation of NdCu3As2 after structural relaxation, from the Open Quantum Materials Database.

POSCAR file:
```
NdCu3As2
1.0
4.153 0.000 0.000
-2.077 3.597 0.000
0.000 0.000 6.848
Nd Cu As
1 3 2
Direct
0.000 0.000 0.000
0.000 0.000 0.500
0.333 0.667 0.646
0.667 0.333 0.354
0.333 0.667 0.261
0.667 0.333 0.739
```

- total energy (eV per atom) = -4.70

=====

[8]
The following is a PBE calculation of FeReSbPd after structural relaxation, from the Open Quantum Materials Database.

POSCAR file:
```
FeReSbPd
1.0
0.000 3.150 3.150
3.150 0.000 3.150
3.150 3.150 0.000
Fe Re Sb Pd
1 1 1 1
Direct
0.000 0.000 0.000
0.500 0.500 0.500
0.750 0.750 0.750
0.250 0.250 0.250
```

- relative energy among the computed polymorphs (meV per atom) = 0

=====

[9]
The following is a PBE calculation of RbAgTeWS2 after structural relaxation, from the Open Quantum Materials Database.

POSCAR file:
```
RbAgTeWS2
1.0
1.909 -8.111 0.000
1.909 8.111 0.000
0.000 0.000 10.412
Rb Ag Te W S
2 2 2 2 4
Direct
0.221 0.779 0.750
0.779 0.221 0.250
0.461 0.539 0.250
0.539 0.461 0.750
0.086 0.914 0.250
0.914 0.086 0.750
0.000 0.000 0.000
0.000 0.000 0.500
0.402 0.598 0.035
0.402 0.598 0.465
0.598 0.402 0.535
0.598 0.402 0.965
```

- total energy (eV per atom) = -4.95

=====

[10]
The following is a PBE calculation of Gd2In2Ir3Pd after structural relaxation, from the Open Quantum Materials Database.

POSCAR file:
```
Gd2In2Ir3Pd
1.0
4.579 0.000 0.000
-2.289 3.965 0.000
0.000 0.000 8.949
Gd In Ir Pd
2 2 3 1
Direct
0.000 0.000 0.000
0.333 0.667 0.491
0.667 0.333 0.250
0.667 0.333 0.753
0.000 0.000 0.334
0.333 0.667 0.149
0.333 0.667 0.845
0.000 0.000 0.657
```

- total energy (eV per atom) = -6.34

=====

[11]
The following is a PBE calculation of PuBTe after structural relaxation, from the Open Quantum Materials Database.

POSCAR file:
```
PuBTe
1.0
0.000 3.245 3.245
3.245 0.000 3.245
3.245 3.245 0.000
Pu B Te
1 1 1
Direct
0.000 0.000 0.000
0.500 0.500 0.500
0.750 0.750 0.750
```

- relative energy among the computed polymorphs (meV per atom) = 734

=====

[12]
The following is a PBE calculation of Y4Al3Mo2C3 after structural relaxation, from the Open Quantum Materials Database.

POSCAR file:
```
Y4Al3Mo2C3
1.0
5.109 -2.995 0.000
5.109 2.995 0.000
-3.633 0.000 13.979
Y Al Mo C
8 6 4 6
Direct
0.047 0.190 0.101
0.119 0.299 0.399
0.190 0.047 0.601
0.299 0.119 0.899
0.701 0.881 0.101
0.810 0.953 0.399
0.881 0.701 0.601
0.953 0.810 0.899
0.171 0.829 0.250
0.329 0.420 0.754
0.420 0.329 0.254
0.580 0.671 0.746
0.671 0.580 0.246
0.829 0.171 0.750
0.349 0.525 0.071
0.475 0.651 0.429
0.525 0.349 0.571
0.651 0.475 0.929
0.000 0.500 0.000
0.201 0.650 0.500
0.350 0.799 0.000
0.500 0.000 0.500
0.650 0.201 0.000
0.799 0.350 0.500
```

- total energy (eV per atom) = -7.56

=====

[13]
The following is a PBE calculation of ErTm2Al3Cu2Ni after structural relaxation, from the Open Quantum Materials Database.

POSCAR file:
```
ErTm2Al3Cu2Ni
1.0
3.962 0.000 0.000
0.000 6.000 3.465
0.000 -6.000 3.465
Er Tm Al Cu Ni
1 2 3 2 1
Direct
0.000 0.000 0.000
0.000 0.178 0.589
0.000 0.589 0.178
0.500 0.356 0.356
0.500 0.588 0.821
0.500 0.821 0.588
0.500 0.256 0.921
0.500 0.921 0.256
0.000 0.588 0.588
```

- total energy (eV per atom) = -4.72

=====

[14]
The following is a PBE calculation of NbBNO after structural relaxation, from the Open Quantum Materials Database.

POSCAR file:
```
NbBNO
1.0
2.778 0.000 0.000
0.000 5.948 0.000
0.000 0.000 4.485
Nb B N O
2 2 2 2
Direct
0.000 0.136 0.000
0.000 0.864 0.500
0.500 0.393 0.572
0.500 0.607 0.072
0.500 0.401 0.901
0.500 0.599 0.401
0.000 0.247 0.489
0.000 0.753 0.989
```

- relative energy among the computed polymorphs (meV per atom) = 162

=====

[15]
The following is a PBE calculation of Y3HgC after structural relaxation, from the Open Quantum Materials Database.

POSCAR file:
```
Y3HgC
1.0
4.912 0.000 0.000
0.000 4.912 0.000
0.000 0.000 4.912
Y Hg C
3 1 1
Direct
0.000 0.000 0.500
0.000 0.500 0.000
0.500 0.000 0.000
0.500 0.500 0.500
0.000 0.000 0.000
```

- relative energy among the computed polymorphs (meV per atom) = 32

=====

[16]
The following is a PBE calculation of CsLuCoSe3 after structural relaxation, from the Open Quantum Materials Database.

POSCAR file:
```
CsLuCoSe3
1.0
9.732 0.000 0.000
0.000 4.003 0.000
-3.881 0.000 9.134
Cs Lu Co Se
2 2 2 6
Direct
0.210 0.250 0.241
0.790 0.750 0.759
0.333 0.750 0.860
0.667 0.250 0.140
0.074 0.250 0.593
0.926 0.750 0.407
0.127 0.250 0.850
0.182 0.750 0.543
0.476 0.750 0.163
0.524 0.250 0.837
0.818 0.250 0.457
0.873 0.750 0.150
```

- relative energy among the computed polymorphs (meV per atom) = 0

=====

[17]
The following is a PBE calculation of NiBW2 after structural relaxation, from the Open Quantum Materials Database.

POSCAR file:
```
NiBW2
1.0
3.057 0.000 0.000
-1.529 2.648 0.000
0.000 0.000 12.821
Ni B W
2 2 4
Direct
0.333 0.667 0.250
0.667 0.333 0.750
0.000 0.000 0.000
0.000 0.000 0.500
0.333 0.667 0.595
0.333 0.667 0.905
0.667 0.333 0.095
0.667 0.333 0.405
```

- total energy (eV per atom) = -9.50

=====

[18]
The following is a PBE calculation of RbSrAg after structural relaxation, from the Open Quantum Materials Database.

POSCAR file:
```
RbSrAg
1.0
0.000 4.046 4.046
4.046 0.000 4.046
4.046 4.046 0.000
Rb Sr Ag
1 1 1
Direct
0.000 0.000 0.000
0.500 0.500 0.500
0.250 0.250 0.250
```

- relative energy among the computed polymorphs (meV per atom) = 0

=====

[19]
The following is a PBE calculation of HoIrNO after structural relaxation, from the Open Quantum Materials Database.

POSCAR file:
```
HoIrNO
1.0
5.480 0.000 0.000
0.000 7.798 0.000
0.000 0.000 5.194
Ho Ir N O
4 4 4 4
Direct
0.025 0.142 0.000
0.475 0.142 0.500
0.525 0.858 0.000
0.975 0.858 0.500
0.081 0.474 0.676
0.419 0.474 0.176
0.581 0.526 0.676
0.919 0.526 0.176
0.133 0.344 0.340
0.367 0.344 0.840
0.633 0.656 0.340
0.867 0.656 0.840
0.249 0.977 0.746
0.251 0.977 0.246
0.749 0.023 0.746
0.751 0.023 0.246
```

- relative energy among the computed polymorphs (meV per atom) = 0

=====

[20]
The following is a PBE calculation of CsScTc after structural relaxation, from the Open Quantum Materials Database.

POSCAR file:
```
CsScTc
1.0
0.000 3.347 3.347
3.347 0.000 3.347
3.347 3.347 0.000
Cs Sc Tc
1 1 1
Direct
0.000 0.000 0.000
0.750 0.750 0.750
0.250 0.250 0.250
```

- relative energy among the computed polymorphs (meV per atom) = 414